# KTcAs2Se

A crystal of KTcAs2Se relaxed with PBEsol (SCAN, Alexandria via LeMat-Bulk).

- total DFT energy (no corrections) (eV/atom) = -18.800
- space group = P4/mmm, No. 123

Lattice parameters (Å, degrees): 5.1703 5.1703 5.2990 90.00 90.00 90.00
Last column: nearest neighbours and their distance in Å.
Positions (direct):
K1 0.0000 0.0000 0.0000  4 As 2.59, 2 Se 2.65
Tc1 0.5000 0.5000 0.5000  4 Se 3.66, 8 As 3.70
As1 0.0000 0.5000 0.0000  2 K 2.59
As2 0.5000 0.0000 0.0000  2 K 2.59
Se1 0.0000 0.0000 0.5000  2 K 2.65

***

# KYAsSe2

A crystal of KYAsSe2 relaxed with PBEsol (SCAN, Alexandria via LeMat-Bulk).

- total DFT energy (no corrections) (eV/atom) = -18.935
- space group = P4/mmm, No. 123

Lattice parameters (Å, degrees): 5.3065 5.3065 5.0105 90.00 90.00 90.00
Last column: nearest neighbours and their distance in Å.
Positions (direct):
K1 0.0000 0.0000 0.0000  2 As 2.51, 4 Se 2.65
Y1 0.5000 0.5000 0.5000  8 Se 3.65, 4 As 3.75
As1 0.0000 0.0000 0.5000  2 K 2.51
Se1 0.0000 0.5000 0.0000  2 K 2.65
Se2 0.5000 0.0000 0.0000  2 K 2.65

***

# KSi2As

A crystal of KSi2As relaxed with PBEsol (SCAN, Alexandria via LeMat-Bulk).

- total DFT energy (no corrections) (eV/atom) = -11.456
- space group = I-4m2, No. 119

Lattice parameters (Å, degrees): 5.2793 5.2793 5.2793 132.16 132.16 69.98
Last column: nearest neighbours and their distance in Å.
Positions (direct):
K1 0.0000 0.0000 0.0000  8 Si 3.03-3.04, 4 As 3.04
Si1 0.5000 0.5000 0.0000  4 K 3.03, 4 As 3.04, 4 Si 3.04
Si2 0.7500 0.2500 0.5000  4 As 3.03, 4 K 3.04, 4 Si 3.04
As1 0.2500 0.7500 0.5000  8 Si 3.03-3.04, 4 K 3.04

***

# KSi2As

A crystal of KSi2As relaxed with PBEsol (SCAN, Alexandria via LeMat-Bulk).

- total DFT energy (no corrections) (eV/atom) = -11.365
- space group = F-43m, No. 216

Lattice parameters (Å, degrees): 4.8399 4.8399 4.8399 60.00 60.00 60.00
Last column: nearest neighbours and their distance in Å.
Positions (direct):
K1 0.0000 0.0000 0.0000  4 Si 2.96, 4 As 2.96
Si1 0.5000 0.5000 0.5000  4 Si 2.96, 4 As 2.96
Si2 0.7500 0.7500 0.7500  4 K 2.96, 4 Si 2.96
As1 0.2500 0.2500 0.2500  4 K 2.96, 4 Si 2.96

***

# KSi2As

A crystal of KSi2As relaxed with PBEsol (SCAN, Alexandria via LeMat-Bulk).

- total DFT energy (no corrections) (eV/atom) = -11.406
- space group = I4/mmm, No. 139

Lattice parameters (Å, degrees): 5.3548 5.3548 5.3548 133.39 133.39 68.04
Last column: nearest neighbours and their distance in Å.
Positions (direct):
K1 0.0000 0.0000 0.0000  4 As 3.00, 8 Si 3.07
Si1 0.2500 0.7500 0.5000  4 Si 3.00, 4 As 3.07, 4 K 3.07
Si2 0.7500 0.2500 0.5000  4 Si 3.00, 4 As 3.07, 4 K 3.07
As1 0.5000 0.5000 0.0000  4 K 3.00, 8 Si 3.07

***

# KSi2As

A crystal of KSi2As relaxed with PBEsol (SCAN, Alexandria via LeMat-Bulk).

- total DFT energy (no corrections) (eV/atom) = -11.758
- space group = Imm2, No. 44

Lattice parameters (Å, degrees): 5.7962 5.7962 5.7962 145.26 117.11 73.89
Last column: nearest neighbours and their distance in Å.
Positions (direct):
K1 0.0000 0.0000 0.0000  4 As 3.43-3.45, 8 Si 3.44-3.48, 2 K 3.46
Si1 0.4976 0.4976 0.0000  2 As 2.39, 2 Si 2.41
Si2 0.6779 0.1779 0.5000  2 Si 2.41
As1 0.3197 0.8197 0.5000  2 Si 2.39

***

# KSiAs2

A crystal of KSiAs2 relaxed with PBEsol (SCAN, Alexandria via LeMat-Bulk).

- total DFT energy (no corrections) (eV/atom) = -14.294
- space group = Cmmm, No. 65

Lattice parameters (Å, degrees): 5.6837 5.6837 2.7668 90.00 90.00 113.95
Last column: nearest neighbours and their distance in Å.
Positions (direct):
K1 0.0000 0.0000 0.0000  2 K 2.77, 2 Si 3.10
Si1 0.5000 0.5000 0.0000  2 Si 2.77, 2 K 3.10
As1 0.0000 0.5000 0.5000  4 As 2.77-3.10
As2 0.5000 0.0000 0.5000  4 As 2.77-3.10

***

# K2Zn3SiAs4

A crystal of K2Zn3SiAs4 relaxed with PBEsol (SCAN, Alexandria via LeMat-Bulk).

- total DFT energy (no corrections) (eV/atom) = -15.204
- space group = C222, No. 21

Lattice parameters (Å, degrees): 7.6224 7.6224 5.6414 90.00 90.00 136.30
Last column: nearest neighbours and their distance in Å.
Positions (direct):
K1 0.0000 0.5000 0.2460  8 As 3.41-3.55
K2 0.5000 0.0000 0.7540  8 As 3.41-3.55
Zn1 0.0000 0.0000 0.0000  4 As 2.52, 2 Si 2.82
Zn2 0.5000 0.5000 0.0000  4 As 2.61, 4 Zn 2.82-2.84
Zn3 0.5000 0.5000 0.5000  4 As 2.52, 2 Zn 2.82
Si1 0.0000 0.0000 0.5000  4 As 2.42
As1 0.1272 0.3430 0.7348  1 Si 2.42, 3 Zn 2.52-2.61
As2 0.3430 0.1272 0.2652  1 Si 2.42, 3 Zn 2.52-2.61
As3 0.6570 0.8728 0.2652  1 Si 2.42, 3 Zn 2.52-2.61
As4 0.8728 0.6570 0.7348  1 Si 2.42, 3 Zn 2.52-2.61

***

# KSn2As2

A crystal of KSn2As2 relaxed with PBEsol (SCAN, Alexandria via LeMat-Bulk).

- space group = I4/mmm, No. 139
- calculated formation energy (meV/atom) = -137

Lattice parameters (Å, degrees): 6.8407 6.8407 6.8407 136.84 136.84 62.68
Last column: nearest neighbours and their distance in Å.
Positions (direct):
K1 0.0000 0.0000 0.0000  8 Sn 3.86, 10 As 3.93-4.18
Sn1 0.2500 0.7500 0.5000  4 As 2.81
Sn2 0.7500 0.2500 0.5000  4 As 2.81
As1 0.3578 0.3578 0.0000  4 Sn 2.81
As2 0.6422 0.6422 0.0000  4 Sn 2.81

***

# KSrAs

A crystal of KSrAs relaxed with PBEsol (SCAN, Alexandria via LeMat-Bulk).

- space group = Pnma, No. 62
- calculated formation energy (meV/atom) = -965

Lattice parameters (Å, degrees): 8.5294 5.1460 9.0438 90.00 90.00 90.00
Last column: nearest neighbours and their distance in Å.
Positions (direct):
K1 0.0166 0.2500 0.1720  5 As 3.38-3.72, 2 Sr 3.68
K2 0.4834 0.7500 0.6720  5 As 3.38-3.72, 2 Sr 3.68
K3 0.5166 0.2500 0.3280  5 As 3.38-3.72, 2 Sr 3.68
K4 0.9834 0.7500 0.8280  5 As 3.38-3.72, 2 Sr 3.68
Sr1 0.1524 0.2500 0.5840  4 As 3.08-3.11
Sr2 0.3476 0.7500 0.0840  4 As 3.08-3.11
Sr3 0.6524 0.2500 0.9160  4 As 3.08-3.11
Sr4 0.8476 0.7500 0.4160  4 As 3.08-3.11
As1 0.2118 0.7500 0.4002  4 Sr 3.08-3.11, 1 K 3.38
As2 0.2882 0.2500 0.9002  4 Sr 3.08-3.11, 1 K 3.38
As3 0.7118 0.7500 0.0998  4 Sr 3.08-3.11, 1 K 3.38
As4 0.7882 0.2500 0.5998  4 Sr 3.08-3.11, 1 K 3.38

***

# K2SrAs

A crystal of K2SrAs relaxed with PBEsol (SCAN, Alexandria via LeMat-Bulk).

- space group = I-42d, No. 122
- calculated formation energy (meV/atom) = -234

Lattice parameters (Å, degrees): 13.2214 13.2214 13.2214 159.28 159.28 29.47
Last column: nearest neighbours and their distance in Å.
Positions (direct):
K1 0.0857 0.6250 0.9607  2 K 3.11
K2 0.3750 0.3357 0.4607  2 K 3.11
K3 0.6643 0.1250 0.0393  2 K 3.11
K4 0.8750 0.9143 0.5393  2 K 3.11
Sr1 0.2500 0.7500 0.5000  4 As 3.36, 4 K 3.68
Sr2 0.5000 0.5000 0.0000  4 As 3.36, 4 K 3.68
As1 0.0000 0.0000 0.0000  4 Sr 3.36, 4 K 3.55
As2 0.7500 0.2500 0.5000  4 Sr 3.36, 4 K 3.55

***

# K4SrAs

A crystal of K4SrAs relaxed with PBEsol (SCAN, Alexandria via LeMat-Bulk).

- space group = F-43m, No. 216
- calculated formation energy (meV/atom) = 292

Lattice parameters (Å, degrees): 7.2556 7.2556 7.2556 60.00 60.00 60.00
Last column: nearest neighbours and their distance in Å.
Positions (direct):
K1 0.1221 0.1221 0.1221  6 K 3.54-3.71
K2 0.1221 0.1221 0.6336  6 K 3.54-3.71
K3 0.1221 0.6336 0.1221  6 K 3.54-3.71
K4 0.6336 0.1221 0.1221  6 K 3.54-3.71
Sr1 0.5000 0.5000 0.5000  12 K 4.26, 4 As 4.44
As1 0.7500 0.7500 0.7500  12 K 4.25, 4 Sr 4.44